1.
## PaBi3 (PBE)

Data for a relaxed PaBi3 crystal.

abc: 6.526 7.741 9.917
angles: 90.00 90.00 90.00
Sites, in units of the cell vectors:
Bi1 0.145 0.293 0.023
Bi2 0.145 0.293 0.477
Bi3 0.645 0.207 0.977
Bi4 0.645 0.207 0.523
Bi5 0.355 0.793 0.023
Bi6 0.412 0.478 0.750
Bi7 0.912 0.022 0.250
Bi8 0.855 0.707 0.523
Bi9 0.088 0.978 0.750
Bi10 0.855 0.707 0.977
Bi11 0.355 0.793 0.477
Bi12 0.588 0.522 0.250
Pa1 0.906 0.383 0.750
Pa2 0.094 0.617 0.250
Pa3 0.594 0.883 0.750
Pa4 0.406 0.117 0.250

Results
energy above the most stable polymorph in this dataset	15.7	meV/atom
formation energy	-0.40	eV/f.u.


2.
## Ce2PaP (PBE)

Data for a relaxed Ce2PaP crystal.

abc: 3.462 3.462 9.942
angles: 79.97 79.97 60.00
Sites, in units of the cell vectors:
P1 0.500 0.500 0.500
Ce1 0.103 0.103 0.692
Ce2 0.897 0.897 0.308
Pa1 0.000 0.000 0.000

Results
energy above the most stable polymorph in this dataset	275.5	meV/atom
formation energy	-0.86	eV/f.u.


3.
## KTa2Mo (PBE)

Data for a relaxed KTa2Mo crystal.

abc: 11.655 11.655 11.655
angles: 14.23 14.23 14.23
Sites, in units of the cell vectors:
Ta1 0.488 0.488 0.488
Ta2 0.012 0.012 0.012
Mo1 0.750 0.750 0.750
K1 0.250 0.250 0.250

Results
energy above the most stable polymorph in this dataset	264.8	meV/atom
formation energy	3.38	eV/f.u.


4.
## Sc4BeRu (PBE)

Data for a relaxed Sc4BeRu crystal.

abc: 5.472 5.472 5.472
angles: 60.00 60.00 60.00
Sites, in units of the cell vectors:
Sc1 0.373 0.373 0.880
Sc2 0.880 0.373 0.373
Sc3 0.373 0.373 0.373
Sc4 0.373 0.880 0.373
Be1 0.750 0.750 0.750
Ru1 0.000 0.000 0.000

Results
formation energy	3.79	eV/f.u.


5.
## LiYRu2 (PBE)

Data for a relaxed LiYRu2 crystal.

abc: 4.831 4.831 4.801
angles: 72.94 72.94 38.59
Sites, in units of the cell vectors:
Y1 0.750 0.750 0.750
Ru1 0.511 0.511 0.460
Ru2 0.989 0.989 0.040
Li1 0.250 0.250 0.250

Results
energy above the most stable polymorph in this dataset	64.2	meV/atom
formation energy	0.59	eV/f.u.


6.
## Ho2TmHf3N6 (PBE)

Data for a relaxed Ho2TmHf3N6 crystal.

abc: 3.292 6.635 7.419
angles: 103.65 102.82 90.00
Sites, in units of the cell vectors:
N1 0.671 0.070 0.341
N2 0.339 0.404 0.677
N3 0.995 0.259 0.990
N4 0.661 0.596 0.323
N5 0.005 0.741 0.010
N6 0.329 0.930 0.659
Ho1 0.167 0.333 0.333
Ho2 0.833 0.667 0.667
Tm1 0.500 0.000 0.000
Hf1 0.834 0.167 0.667
Hf2 0.500 0.500 0.000
Hf3 0.166 0.833 0.333

Results
formation energy from raw total energies	-21.9	eV/f.u.